No. 1
First-principles (PBE) data for a relaxed Y2TePd2 crystal, as listed in the Alexandria database.

The space group is I4/mmm (No. 139) and the conventional cell measures 3.912, 3.912 and 15.919 Å, with angles of 90.00, 90.00 and 90.00 degrees. The inequivalent atoms are Y at (0.000, 0.000, 0.120), Te at (0.000, 0.000, 0.500) and Pd at (0.000, 0.500, 0.250).

Its uncorrected formation energy is -84.0 kJ/mol of atoms. As for the distance to the lowest polymorph of the same formula: 126 meV per atom. The calculation puts the density at 7.07 g/cm³. The value obtained for the total energy is -30.8 eV per formula unit. Its density of states at the Fermi level is 0.724 states/eV per atom.

No. 2
First-principles (PBE) data for a relaxed YTe2Pd crystal, as listed in the Alexandria database.

The space group is Fm-3m (No. 225) and the conventional cell measures 7.318, 7.318 and 7.318 Å, with angles of 90.00, 90.00 and 90.00 degrees. The inequivalent atoms are Y at (0.000, 0.000, 0.000), Te at (0.250, 0.250, 0.250) and Pd at (0.000, 0.000, 0.500).

Its uncorrected formation energy is -65.4 kJ/mol of atoms. As for the distance to the lowest polymorph of the same formula: 0 meV per atom. The calculation puts the density at 7.64 g/cm³. The value obtained for the total energy is -20.7 eV per formula unit. Its density of states at the Fermi level is 1.171 states/eV per atom.

No. 3
First-principles (PBE) data for a relaxed YTe2Pd crystal, as listed in the Alexandria database.

The space group is R-3m (No. 166, hexagonal axes) and the conventional cell measures 4.3179, 4.3179 and 26.1510 Å, with angles of 90.00, 90.00 and 120.00 degrees. The inequivalent atoms are Y at (0.0000, 0.0000, 0.0000), Te at (0.0000, 0.0000, 0.4017) and Pd at (0.0000, 0.0000, 0.5000).

Its uncorrected formation energy is -55.5 kJ/mol of atoms. As for the distance to the lowest polymorph of the same formula: 103 meV per atom. The calculation puts the density at 5.32 g/cm³. The value obtained for the total energy is -20.2 eV per formula unit. Its density of states at the Fermi level is 0.694 states/eV per atom.

No. 4
First-principles (PBE) data for a relaxed YTe2Pd crystal, as listed in the Alexandria database.

The space group is R-3m (No. 166, hexagonal axes) and the conventional cell measures 3.9548, 3.9548 and 27.0165 Å, with angles of 90.00, 90.00 and 120.00 degrees. The inequivalent atoms are Y at (0.0000, 0.0000, 0.0000), Te at (0.0000, 0.0000, 0.1115) and Pd at (0.0000, 0.0000, 0.5000).

Its uncorrected formation energy is -24.5 kJ/mol of atoms. As for the distance to the lowest polymorph of the same formula: 424 meV per atom. The calculation puts the density at 6.13 g/cm³. The value obtained for the total energy is -19.0 eV per formula unit. Its density of states at the Fermi level is 0.821 states/eV per atom.

No. 5
First-principles (PBE) data for a relaxed Y5TePd2 crystal, as listed in the Alexandria database.

The space group is I4/mcm (No. 140) and the conventional cell measures 7.834, 7.834 and 13.571 Å, with angles of 90.00, 90.00 and 90.00 degrees. The inequivalent atoms are Y at (0.000, 0.000, 0.000), Y at (0.155, 0.345, 0.142), Te at (0.000, 0.000, 0.250) and Pd at (0.137, 0.363, 0.500).

Its uncorrected formation energy is -76.8 kJ/mol of atoms. The calculation puts the density at 6.26 g/cm³. The value obtained for the total energy is -52.2 eV per formula unit. Its density of states at the Fermi level is 0.755 states/eV per atom.

No. 6
First-principles (PBE) data for a relaxed Y7Te2Pd2 crystal, as listed in the Alexandria database.

The space group is Imm2 (No. 44) and the conventional cell measures 3.968, 15.815 and 9.706 Å, with angles of 90.00, 90.00 and 90.00 degrees. The inequivalent atoms are Y at (0.000, 0.000, 0.000), Y at (0.000, 0.128, 0.415), Y at (0.000, 0.317, 0.622), Y at (0.000, 0.357, 0.264), Te at (0.000, 0.000, 0.662), Te at (0.000, 0.500, 0.761) and Pd at (0.000, 0.238, 0.926).

Its uncorrected formation energy is -82.9 kJ/mol of atoms. The calculation puts the density at 5.94 g/cm³. The value obtained for the total energy is -71.4 eV per formula unit. Its density of states at the Fermi level is 0.841 states/eV per atom.

Please write out number 5 again, unchanged.
First-principles (PBE) data for a relaxed Y5TePd2 crystal, as listed in the Alexandria database.

The space group is I4/mcm (No. 140) and the conventional cell measures 7.834, 7.834 and 13.571 Å, with angles of 90.00, 90.00 and 90.00 degrees. The inequivalent atoms are Y at (0.000, 0.000, 0.000), Y at (0.155, 0.345, 0.142), Te at (0.000, 0.000, 0.250) and Pd at (0.137, 0.363, 0.500).

Its uncorrected formation energy is -76.8 kJ/mol of atoms. The calculation puts the density at 6.26 g/cm³. The value obtained for the total energy is -52.2 eV per formula unit. Its density of states at the Fermi level is 0.755 states/eV per atom.